1.
Crystalline As2IrSeS at its relaxed geometry, computed with GGA-PBE.

Values from the calculation:
V   23.0 A^3/atom
Raw formation energy   0.757 eV per atom
N(E_F)   4.8 states/eV/f.u.
Size of the total moment   0.000 μB per atom
E above lowest polymorph   0.0 kJ per mole of atoms

Geometry as CIF:
```
data_As2IrSeS
_space_group_name_H-M_alt 'P 4/m m m'
_space_group_IT_number 123
_space_group_name_Hall '-P 4 2'
_cell_length_a 4.699
_cell_length_b 4.699
_cell_length_c 5.214
_cell_angle_alpha 90.00
_cell_angle_beta 90.00
_cell_angle_gamma 90.00
loop_
_atom_site_label
_atom_site_type_symbol
_atom_site_fract_x
_atom_site_fract_y
_atom_site_fract_z
_atom_site_occupancy
As1 As 0.000 0.500 0.000 1
Ir1 Ir 0.000 0.000 0.000 1
Se1 Se 0.000 0.000 0.500 1
S1 S 0.500 0.500 0.500 1
```



2.
Crystalline Rb3Sn4Au4 at its relaxed geometry, computed with GGA-PBE.

Values from the calculation:
V   31.5 A^3/atom
N(E_F)   5.9 states/eV/f.u.
Calculated formation energy   -0.27 eV per atom
Size of the total moment   0.000 μB per atom

Geometry as CIF:
```
data_Rb3Sn4Au4
_space_group_name_H-M_alt 'I -4 3 m'
_space_group_IT_number 217
_space_group_name_Hall 'I -4 2 3'
_cell_length_a 8.847
_cell_length_b 8.847
_cell_length_c 8.847
_cell_angle_alpha 90.00
_cell_angle_beta 90.00
_cell_angle_gamma 90.00
loop_
_atom_site_label
_atom_site_type_symbol
_atom_site_fract_x
_atom_site_fract_y
_atom_site_fract_z
_atom_site_occupancy
Rb1 Rb 0.000 0.000 0.500 1
Sn1 Sn 0.142 0.142 0.142 1
Au1 Au 0.178 0.178 0.822 1
```



3.
Crystalline Pm3PrEr at its relaxed geometry, computed with GGA-PBE.

Values from the calculation:
V   35.5 A^3/atom
N(E_F)   4.5 states/eV/f.u.
Calculated formation energy   0.33 eV per atom
Size of the total moment   0.000 μB per atom
E above lowest polymorph   30.0 kJ per mole of atoms

Geometry as CIF:
```
data_Pm3PrEr
_space_group_name_H-M_alt 'C m c m'
_space_group_IT_number 63
_space_group_name_Hall '-C 2c 2'
_cell_length_a 8.138
_cell_length_b 14.057
_cell_length_c 6.204
_cell_angle_alpha 90.00
_cell_angle_beta 90.00
_cell_angle_gamma 90.00
loop_
_atom_site_label
_atom_site_type_symbol
_atom_site_fract_x
_atom_site_fract_y
_atom_site_fract_z
_atom_site_occupancy
Pm1 Pm 0.000 0.000 0.000 1
Pm2 Pm 0.198 0.401 0.250 1
Pr1 Pr 0.000 0.202 0.250 1
Er1 Er 0.000 0.337 0.750 1
```



4.
Crystalline Hf2Pt2W at its relaxed geometry, computed with GGA-PBE.

Values from the calculation:
V   18.5 A^3/atom
N(E_F)   2.3 states/eV/f.u.
Calculated formation energy   -0.38 eV per atom
Size of the total moment   0.000 μB per atom
E above lowest polymorph   13.3 kJ per mole of atoms

Geometry as CIF:
```
data_Hf2Pt2W
_space_group_name_H-M_alt 'P 4/m b m'
_space_group_IT_number 127
_space_group_name_Hall '-P 4 2ab'
_cell_length_a 7.660
_cell_length_b 7.660
_cell_length_c 3.161
_cell_angle_alpha 90.00
_cell_angle_beta 90.00
_cell_angle_gamma 90.00
loop_
_atom_site_label
_atom_site_type_symbol
_atom_site_fract_x
_atom_site_fract_y
_atom_site_fract_z
_atom_site_occupancy
Hf1 Hf 0.163 0.337 0.000 1
Pt1 Pt 0.136 0.636 0.500 1
W1 W 0.000 0.000 0.000 1
```



5.
Crystalline Na8AgAu2 at its relaxed geometry, computed with GGA-PBE.

Values from the calculation:
V   26.2 A^3/atom
N(E_F)   2.7 states/eV/f.u.
Calculated formation energy   -0.14 eV per atom
Size of the total moment   0.000 μB per atom
E above lowest polymorph   0.3 kJ per mole of atoms

Geometry as CIF:
```
data_Na8AgAu2
_space_group_name_H-M_alt 'I m m m'
_space_group_IT_number 71
_space_group_name_Hall '-I 2 2'
_cell_length_a 4.972
_cell_length_b 7.949
_cell_length_c 14.598
_cell_angle_alpha 90.00
_cell_angle_beta 90.00
_cell_angle_gamma 90.00
loop_
_atom_site_label
_atom_site_type_symbol
_atom_site_fract_x
_atom_site_fract_y
_atom_site_fract_z
_atom_site_occupancy
Na1 Na 0.000 0.000 0.155 1
Na2 Na 0.000 0.221 0.343 1
Na3 Na 0.000 0.304 0.000 1
Ag1 Ag 0.000 0.500 0.500 1
Au1 Au 0.000 0.500 0.190 1
```



6.
Crystalline Ce2PmGe3Rh4 at its relaxed geometry, computed with GGA-PBE.

Values from the calculation:
V   19.9 A^3/atom
N(E_F)   11.0 states/eV/f.u.
Calculated formation energy   -0.81 eV per atom
Size of the total moment   0.148 μB per atom

Geometry as CIF:
```
data_Ce2PmGe3Rh4
_space_group_name_H-M_alt 'P -4 m 2'
_space_group_IT_number 115
_cell_length_a 4.187
_cell_length_b 4.187
_cell_length_c 11.342
_cell_angle_alpha 90.00
_cell_angle_beta 90.00
_cell_angle_gamma 90.00
loop_
_space_group_symop_operation_xyz
'x,y,z'
'y,-x,-z'
'-x,-y,z'
'-y,x,-z'
'-x,y,z'
'-y,-x,-z'
'x,-y,z'
'y,x,-z'
loop_
_atom_site_label
_atom_site_type_symbol
_atom_site_fract_x
_atom_site_fract_y
_atom_site_fract_z
_atom_site_occupancy
Ce1 Ce 0.000 0.500 0.228 1
Pm1 Pm 0.000 0.000 0.500 1
Ge1 Ge 0.000 0.500 0.881 1
Ge2 Ge 0.500 0.500 0.500 1
Rh1 Rh 0.000 0.000 0.000 1
Rh2 Rh 0.000 0.500 0.665 1
Rh3 Rh 0.500 0.500 0.000 1
```